Entry 1:
{"formula": "Ba3MgSb2O9", "functional": "PBEsol", "state": "relaxed", "cell": [[-4.2495, 3.8410, 1.2021], [-1.1885, -4.7891, -3.1479], [-3.0906, -7.2242, 12.1573]], "species": ["Ba", "Ba", "Ba", "Ba", "Ba", "Ba", "Mg", "Mg", "Sb", "Sb", "Sb", "Sb", "O", "O", "O", "O", "O", "O", "O", "O", "O", "O", "O", "O", "O", "O", "O", "O", "O", "O"], "frac_coords": [[0.3333, 0.6667, 0.5881], [0.6667, 0.3333, 0.4119], [0.0000, 0.0000, 0.2500], [0.3333, 0.6667, 0.9119], [0.0000, 0.0000, 0.7500], [0.6667, 0.3333, 0.0881], [0.0000, 0.0000, 0.5000], [0.0000, 0.0000, 0.0000], [0.6667, 0.3333, 0.6514], [0.3333, 0.6667, 0.1514], [0.3333, 0.6667, 0.3486], [0.6667, 0.3333, 0.8486], [0.4828, 0.5172, 0.2500], [0.1682, 0.8318, 0.4166], [0.9657, 0.4828, 0.7500], [0.5172, 0.4828, 0.7500], [0.4828, 0.9657, 0.2500], [0.6636, 0.8318, 0.4166], [0.8318, 0.1682, 0.9166], [0.1682, 0.8318, 0.0834], [0.5172, 0.0343, 0.7500], [0.8318, 0.6636, 0.5834], [0.8318, 0.6636, 0.9166], [0.1682, 0.3364, 0.0834], [0.6636, 0.8318, 0.0834], [0.3364, 0.1682, 0.5834], [0.8318, 0.1682, 0.5834], [0.1682, 0.3364, 0.4166], [0.3364, 0.1682, 0.9166], [0.0343, 0.5172, 0.2500]]}

Entry 2:
{"formula": "BaSrMgWO6", "functional": "PBEsol", "state": "relaxed", "cell": [[5.6636, 0.0000, 0.0000], [2.8318, 4.9048, 0.0000], [2.8318, 1.6349, 4.6243]], "species": ["O", "O", "O", "O", "O", "O", "Ba", "W", "Sr", "Mg"], "frac_coords": [[0.7593, 0.2407, 0.2407], [0.2407, 0.2407, 0.7593], [0.7593, 0.2407, 0.7593], [0.2407, 0.7593, 0.2407], [0.7593, 0.7593, 0.2407], [0.2407, 0.7593, 0.7593], [0.2500, 0.2500, 0.2500], [0.0000, 0.0000, 0.0000], [0.7500, 0.7500, 0.7500], [0.5000, 0.5000, 0.5000]]}

Entry 3:
{"formula": "Ba4MgTa10O30", "functional": "PBEsol", "state": "relaxed", "cell": [[7.8034, 0.0000, 0.0000], [3.9017, 9.1359, 0.0226], [3.9017, 3.3864, 8.4851]], "species": ["Ta", "Ta", "Ta", "Ta", "Ta", "Ta", "Ta", "Ta", "Ta", "Ta", "O", "O", "O", "O", "O", "O", "O", "O", "O", "O", "O", "O", "O", "O", "O", "O", "O", "O", "O", "O", "O", "O", "O", "O", "O", "O", "O", "O", "O", "O", "Mg", "Ba", "Ba", "Ba", "Ba"], "frac_coords": [[0.8726, 0.6936, 0.0613], [0.4960, 0.2533, 0.2533], [0.6260, 0.8113, 0.4389], [0.3725, 0.6936, 0.0613], [0.8726, 0.0613, 0.6936], [0.1239, 0.8113, 0.4389], [0.6260, 0.4389, 0.8113], [0.3725, 0.0613, 0.6936], [0.1239, 0.4389, 0.8113], [0.9975, 0.2533, 0.2533], [0.6959, 0.5875, 0.5875], [0.7650, 0.2350, 0.2350], [0.5615, 0.0291, 0.2904], [0.2623, 0.7530, 0.2588], [0.8811, 0.2190, 0.4793], [0.2281, 0.2719, 0.2719], [0.1190, 0.0291, 0.2904], [0.6177, 0.7180, 0.0467], [0.0311, 0.8902, 0.6212], [0.7259, 0.2588, 0.7530], [0.5615, 0.2904, 0.0291], [0.8693, 0.8347, 0.4268], [0.6177, 0.0467, 0.7180], [0.8811, 0.4793, 0.2190], [0.4575, 0.8902, 0.6212], [0.4206, 0.4793, 0.2190], [0.1190, 0.2904, 0.0291], [0.0311, 0.6212, 0.8902], [0.3772, 0.4834, 0.7623], [0.2623, 0.2588, 0.7530], [0.3772, 0.7623, 0.4834], [0.1002, 0.7031, 0.0965], [0.1292, 0.5875, 0.5875], [0.8398, 0.9249, 0.9249], [0.4206, 0.2190, 0.4793], [0.7259, 0.7530, 0.2588], [0.8693, 0.4268, 0.8347], [0.3104, 0.9249, 0.9249], [0.4575, 0.6212, 0.8902], [0.1002, 0.0965, 0.7031], [0.2712, 0.7288, 0.7288], [0.9469, 0.0531, 0.0531], [0.4570, 0.0430, 0.0430], [0.0513, 0.4487, 0.4487], [0.5374, 0.4626, 0.4626]]}

Entry 4:
{"formula": "Ba3MgTiWO9", "functional": "PBEsol", "state": "relaxed", "cell": [[5.7888, 0.0000, 0.0000], [-2.8944, 5.0133, 0.0000], [0.0000, 0.0000, 14.1548]], "species": ["O", "O", "O", "O", "O", "O", "O", "O", "O", "O", "O", "O", "O", "O", "O", "O", "O", "O", "Ba", "Ba", "Ba", "Ba", "Ba", "Ba", "Mg", "Mg", "Ti", "Ti", "W", "W"], "frac_coords": [[0.9671, 0.4836, 0.2541], [0.8293, 0.6586, 0.0843], [0.3414, 0.1707, 0.0843], [0.1729, 0.3458, 0.9146], [0.1707, 0.8293, 0.5843], [0.6586, 0.8293, 0.5843], [0.1729, 0.8271, 0.9146], [0.4836, 0.5164, 0.7541], [0.8271, 0.1729, 0.4146], [0.1707, 0.3414, 0.5843], [0.3458, 0.1729, 0.4146], [0.5164, 0.0329, 0.2541], [0.4836, 0.9671, 0.7541], [0.8271, 0.6542, 0.4146], [0.8293, 0.1707, 0.0843], [0.6542, 0.8271, 0.9146], [0.0329, 0.5164, 0.7541], [0.5164, 0.4836, 0.2541], [0.6667, 0.3333, 0.9076], [0.0000, 0.0000, 0.7451], [0.3333, 0.6667, 0.4076], [0.6667, 0.3333, 0.5987], [0.0000, 0.0000, 0.2451], [0.3333, 0.6667, 0.0987], [0.0000, 0.0000, 0.5019], [0.0000, 0.0000, 0.0019], [0.3333, 0.6667, 0.6436], [0.6667, 0.3333, 0.1436], [0.6667, 0.3333, 0.3444], [0.3333, 0.6667, 0.8444]]}

Entry 5:
{"formula": "BaMg2V2O8", "functional": "PBEsol", "state": "relaxed", "cell": [[-3.3498, 1.9067, 7.5573], [-3.3567, -7.5277, 5.1730], [6.1937, 0.0058, 7.5055]], "species": ["Mg", "Mg", "Mg", "Mg", "Mg", "Mg", "Mg", "Mg", "O", "O", "O", "O", "O", "O", "O", "O", "O", "O", "O", "O", "O", "O", "O", "O", "O", "O", "O", "O", "O", "O", "O", "O", "O", "O", "O", "O", "O", "O", "O", "O", "V", "V", "V", "V", "V", "V", "V", "V", "Ba", "Ba", "Ba", "Ba"], "frac_coords": [[0.9179, 0.0000, 0.6642], [0.8321, 0.5000, 0.8358], [0.6679, 0.1642, 0.5000], [0.5821, 0.0000, 0.3358], [0.1679, 0.5000, 0.1642], [0.0821, 0.3358, 0.0000], [0.3321, 0.8358, 0.5000], [0.4179, 0.6642, 0.0000], [0.8313, 0.3355, 0.0176], [0.1511, 0.0176, 0.6645], [0.0989, 0.8355, 0.4824], [0.9187, 0.1645, 0.4824], [0.0307, 0.6608, 0.3363], [0.1844, 0.6645, 0.9824], [0.3085, 0.6637, 0.6608], [0.7193, 0.8392, 0.1637], [0.4187, 0.4824, 0.1645], [0.2193, 0.1637, 0.8392], [0.0279, 0.3392, 0.6637], [0.6844, 0.9824, 0.6645], [0.9415, 0.8392, 0.8363], [0.6329, 0.3363, 0.3392], [0.6171, 0.1608, 0.1637], [0.3332, 0.3355, 0.9824], [0.9168, 0.5176, 0.1645], [0.3313, 0.0176, 0.3355], [0.0656, 0.5176, 0.8355], [0.5656, 0.8355, 0.5176], [0.4415, 0.8363, 0.8392], [0.2221, 0.8363, 0.1608], [0.4168, 0.1645, 0.5176], [0.6511, 0.6645, 0.0176], [0.5307, 0.3363, 0.6608], [0.7221, 0.1608, 0.8363], [0.8085, 0.6608, 0.6637], [0.1329, 0.3392, 0.3363], [0.5989, 0.4824, 0.8355], [0.8332, 0.9824, 0.3355], [0.1171, 0.1637, 0.1608], [0.5279, 0.6637, 0.3392], [0.1250, 0.6686, 0.8314], [0.5436, 0.3314, 0.8314], [0.6250, 0.8314, 0.6686], [0.6250, 0.3314, 0.1686], [0.7064, 0.6686, 0.1686], [0.0436, 0.8314, 0.3314], [0.2064, 0.1686, 0.6686], [0.1250, 0.1686, 0.3314], [0.7500, 0.5000, 0.5000], [0.5000, 0.0000, 0.0000], [0.2500, 0.5000, 0.5000], [0.0000, 0.0000, 0.0000]]}

Entry 6:
{"formula": "BaMgV2ZnO8", "functional": "PBEsol", "state": "relaxed", "cell": [[8.4412, 0.0000, 0.0000], [4.2206, 8.7768, -0.0051], [4.2206, -0.0072, 8.7768]], "species": ["O", "O", "O", "O", "O", "O", "O", "O", "O", "O", "O", "O", "O", "O", "O", "O", "O", "O", "O", "O", "O", "O", "O", "O", "O", "O", "O", "O", "O", "O", "O", "O", "Ba", "Ba", "Ba", "Ba", "V", "V", "V", "V", "V", "V", "V", "V", "Mg", "Mg", "Mg", "Mg", "Zn", "Zn", "Zn", "Zn"], "frac_coords": [[0.5263, 0.9644, 0.7896], [0.8314, 0.6423, 0.4611], [0.8345, 0.9598, 0.1072], [0.1356, 0.9610, 0.4638], [0.1504, 0.2905, 0.1428], [0.6356, 0.9638, 0.4610], [0.7240, 0.4611, 0.2855], [0.9396, 0.4610, 0.9638], [0.0653, 0.4611, 0.6423], [0.6178, 0.7884, 0.2850], [0.1178, 0.7850, 0.2884], [0.8087, 0.2884, 0.7850], [0.1834, 0.6066, 0.7911], [0.4163, 0.1428, 0.2905], [0.2240, 0.7855, 0.9611], [0.2197, 0.4644, 0.2896], [0.3314, 0.9611, 0.1423], [0.0985, 0.1072, 0.9598], [0.0263, 0.2896, 0.4644], [0.4189, 0.7911, 0.6066], [0.6504, 0.6428, 0.7905], [0.7197, 0.7896, 0.9644], [0.3087, 0.2850, 0.7884], [0.5294, 0.2855, 0.4611], [0.9163, 0.7905, 0.6428], [0.6834, 0.2911, 0.1066], [0.5985, 0.4598, 0.6072], [0.0294, 0.9611, 0.7855], [0.4396, 0.4638, 0.9610], [0.5653, 0.1423, 0.9611], [0.9189, 0.1066, 0.2911], [0.3345, 0.6072, 0.4598], [0.2508, 0.1240, 0.6235], [0.7508, 0.1235, 0.6240], [0.0016, 0.6235, 0.1240], [0.5016, 0.6240, 0.1235], [0.6265, 0.7937, 0.4551], [0.0444, 0.9556, 0.9556], [0.6247, 0.2937, 0.9551], [0.1265, 0.9551, 0.2937], [0.2053, 0.2947, 0.2947], [0.7053, 0.7947, 0.7947], [0.5444, 0.4556, 0.4556], [0.1247, 0.4551, 0.7937], [0.8298, 0.4618, 0.6263], [0.5821, 0.9618, 0.1263], [0.0821, 0.6263, 0.4618], [0.3298, 0.1263, 0.9618], [0.9166, 0.2895, 0.1255], [0.4166, 0.6255, 0.7895], [0.6684, 0.1255, 0.2895], [0.1684, 0.7895, 0.6255]]}

Which E_form (uncorrected) belongs to each record? In order, -2.33 -2.77 -2.97 -2.88 -2.72 -2.50 eV per atom.